# Sr6Ag2SN | the Alexandria database | PBE | optimized geometry
# M_tot	0.00	μB per atom
# formation energy (no corrections)	-0.647	eV per atom
data_Sr6Ag2SN
_chemical_formula_sum 'Sr12 Ag4 S2 N2'
_space_group_name_H-M_alt 'P 1 21/c 1'
_space_group_IT_number 14
_cell_length_a 7.494
_cell_length_b 7.929
_cell_length_c 13.134
_cell_angle_alpha 90.00
_cell_angle_beta 124.48
_cell_angle_gamma 90.00
loop_
_space_group_symop_operation_xyz
'x,y,z'
'-x,-y,-z'
'-x,y+1/2,-z+1/2'
'x,-y+1/2,z+1/2'
loop_
_atom_site_label
_atom_site_fract_x
_atom_site_fract_y
_atom_site_fract_z
Sr1 0.146 0.020 0.234
Sr2 0.226 0.716 0.045
Sr3 0.333 0.184 0.045
Ag1 0.276 0.070 0.750
S1 0.500 0.000 0.500
N1 0.000 0.000 0.000